Record 1
Crystalline Nd2PClF at its relaxed geometry. Source: OQMD via LeMat-Bulk, functional PBE.

Calculated values
* electronic total energy: -6.06 eV/atom
* space-group type: P3m1
* crystal system: trigonal

The structure in CIF format:
```
data_Nd2PClF
_cell_length_a 4.024
_cell_length_b 4.024
_cell_length_c 8.187
_cell_angle_alpha 90.00
_cell_angle_beta 90.00
_cell_angle_gamma 120.00
_symmetry_space_group_name_H-M 'P 1'
_symmetry_Int_Tables_number 1
_symmetry_space_group_name_Hall 'P 1'
loop_
_atom_site_label
_atom_site_fract_x
_atom_site_fract_y
_atom_site_fract_z
Cl1 0.000 0.000 0.603
Nd1 0.333 0.667 0.821
Nd2 0.000 0.000 0.224
F1 0.333 0.667 0.333
P1 0.667 0.333 0.019
```

=====

Record 2
Crystalline Lu3NbCl2 at its relaxed geometry. Source: OQMD via LeMat-Bulk, functional PBE.

Calculated values
* electronic total energy: -5.22 eV/atom
* space-group type: P-3m1
* crystal system: trigonal

The structure in CIF format:
```
data_Lu3NbCl2
_cell_length_a 3.390
_cell_length_b 3.390
_cell_length_c 13.543
_cell_angle_alpha 90.00
_cell_angle_beta 90.00
_cell_angle_gamma 120.00
_symmetry_space_group_name_H-M 'P 1'
_symmetry_Int_Tables_number 1
_symmetry_space_group_name_Hall 'P 1'
loop_
_atom_site_label
_atom_site_fract_x
_atom_site_fract_y
_atom_site_fract_z
Nb1 0.000 0.000 0.500
Lu1 0.667 0.333 0.672
Lu2 0.000 0.000 0.000
Lu3 0.333 0.667 0.328
Cl1 0.333 0.667 0.834
Cl2 0.667 0.333 0.166
```

=====

Record 3
Crystalline NbAlCoPt at its relaxed geometry. Source: OQMD via LeMat-Bulk, functional PBE.

Calculated values
* electronic total energy: -6.99 eV/atom
* space-group type: F-43m
* crystal system: cubic

The structure in CIF format:
```
data_NbAlCoPt
_cell_length_a 4.375
_cell_length_b 4.375
_cell_length_c 4.375
_cell_angle_alpha 60.00
_cell_angle_beta 60.00
_cell_angle_gamma 60.00
_symmetry_space_group_name_H-M 'P 1'
_symmetry_Int_Tables_number 1
_symmetry_space_group_name_Hall 'P 1'
loop_
_atom_site_label
_atom_site_fract_x
_atom_site_fract_y
_atom_site_fract_z
Nb1 0.250 0.250 0.250
Co1 0.750 0.750 0.750
Pt1 0.500 0.500 0.500
Al1 0.000 0.000 0.000
```

=====

Record 4
Crystalline CsRbPdC2 at its relaxed geometry. Source: OQMD via LeMat-Bulk, functional PBE.

Calculated values
* electronic total energy: -5.05 eV/atom
* space-group type: P3m1
* crystal system: trigonal

The structure in CIF format:
```
data_CsRbPdC2
_cell_length_a 5.589
_cell_length_b 5.589
_cell_length_c 5.308
_cell_angle_alpha 90.00
_cell_angle_beta 90.00
_cell_angle_gamma 120.00
_symmetry_space_group_name_H-M 'P 1'
_symmetry_Int_Tables_number 1
_symmetry_space_group_name_Hall 'P 1'
loop_
_atom_site_label
_atom_site_fract_x
_atom_site_fract_y
_atom_site_fract_z
Pd1 0.333 0.667 0.999
Rb1 0.667 0.333 0.725
C1 0.333 0.667 0.620
C2 0.333 0.667 0.381
Cs1 0.000 0.000 0.275
```